# Pm4TmSn5

A relaxed Pm4TmSn5 crystal (PBE, the Alexandria database).

E: -50.08 eV per formula unit
Energy relative to the elements: -0.66 eV per atom

```
Pm4TmSn5
1.0
3.502 0.000 0.000
0.000 3.502 0.000
0.000 0.000 22.495
Sn Pm Tm
5 4 1
direct
0.500 0.500 0.298
0.500 0.500 0.702
0.500 0.500 0.500
0.500 0.500 0.905
0.500 0.500 0.095
0.000 0.000 0.602
0.000 0.000 0.398
0.000 0.000 0.197
0.000 0.000 0.803
0.000 0.000 0.000
```